The following is a DFT calculation (GGA-PBE) of SrAgP after structural relaxation.

POSCAR file:
```
SrAgP
1.0
-2.174 2.174 7.645
2.174 -2.174 7.645
2.174 2.174 -7.645
Sr Ag P
2 2 2
direct
0.000 0.000 0.000
0.750 0.250 0.500
0.166 0.666 0.500
0.416 0.416 0.000
0.332 0.832 0.500
0.582 0.582 0.000
```

The formation energy is -0.6971 eV per atom. As for the total energy: -4.01 eV/atom. Its total magnetic moment is 0.000 μB/atom. The symmetry is I4_1md (109).